Entry from Alexandria via LeMat-Bulk: an optimized crystal structure of Tb4ErCu5 (PBE).

The calculated formation energy comes out at -250.5 meV per atom. The total DFT energy (no corrections) is -46.07 eV/f.u.

The structure belongs to space group P4/mmm (No. 123); the cell edges are 3.457, 3.457 and 17.528 Å and the angles 90.00°, 90.00° and 90.00°. The inequivalent atoms are Tb at (0.000, 0.000, 0.100), Tb at (0.000, 0.000, 0.302), Er at (0.000, 0.000, 0.500), Cu at (0.500, 0.500, 0.000), Cu at (0.500, 0.500, 0.201) and Cu at (0.500, 0.500, 0.403).



Entry from Alexandria via LeMat-Bulk: an optimized crystal structure of Tb2ErCu (PBE).

The calculated formation energy comes out at -104.7 meV per atom. The total DFT energy (no corrections) is -18.34 eV/f.u.

The structure belongs to space group Pnma (No. 62); the cell edges are 6.833, 9.678 and 6.477 Å and the angles 90.00°, 90.00° and 90.00°. The inequivalent atoms are Tb at (0.194, 0.059, 0.186), Er at (0.022, 0.250, 0.632) and Cu at (0.094, 0.750, 0.952).



Entry from Alexandria via LeMat-Bulk: an optimized crystal structure of TbErCuTc (PBE).

The calculated formation energy comes out at -107.5 meV per atom. The total DFT energy (no corrections) is -24.09 eV/f.u.

The structure belongs to space group F-43m (No. 216); the cell edges are 6.868, 6.868 and 6.868 Å and the angles 90.00°, 90.00° and 90.00°. The inequivalent atoms are Tb at (0.000, 0.000, 0.000), Er at (0.000, 0.000, 0.500), Cu at (0.250, 0.250, 0.750) and Tc at (0.250, 0.250, 0.250).